# 1
This record from Alexandria via LeMat-Bulk describes a geometry-optimized Sm4Cu3Ru structure. The functional is PBE.

abc: 3.849 4.492 10.545
angles: 90.00 90.00 90.00
Element x y z (fractional)
Sm 0.000 0.000 0.000
Sm 0.000 0.500 0.270
Sm 0.500 0.000 0.479
Sm 0.500 0.500 0.771
Cu 0.000 0.000 0.696
Cu 0.000 0.500 0.563
Cu 0.500 0.500 0.059
Ru 0.500 0.000 0.211

# 2
This record from Alexandria via LeMat-Bulk describes a geometry-optimized Sm12CuRu6 structure. The functional is PBE.

abc: 8.256 8.256 8.256
angles: 100.17 100.17 100.17
Element x y z (fractional)
Sm 0.061 0.672 0.916
Sm 0.084 0.939 0.328
Sm 0.179 0.415 0.565
Sm 0.328 0.084 0.939
Sm 0.415 0.565 0.179
Sm 0.435 0.821 0.585
Sm 0.565 0.179 0.415
Sm 0.585 0.435 0.821
Sm 0.672 0.916 0.061
Sm 0.821 0.585 0.435
Sm 0.916 0.061 0.672
Sm 0.939 0.328 0.084
Cu 0.000 0.000 0.000
Ru 0.133 0.612 0.300
Ru 0.300 0.133 0.612
Ru 0.388 0.700 0.867
Ru 0.612 0.300 0.133
Ru 0.700 0.867 0.388
Ru 0.867 0.388 0.700

# 3
This record from Alexandria via LeMat-Bulk describes a geometry-optimized SmCuRu structure. The functional is PBE.

Calculated values
Energy above the lowest structure with this stoichiometry = 175.8 meV per atom

abc: 4.227 4.227 3.831
angles: 90.00 90.00 120.00
Element x y z (fractional)
Sm 0.000 0.000 0.000
Cu 0.333 0.667 0.500
Ru 0.667 0.333 0.500

# 4
This record from Alexandria via LeMat-Bulk describes a geometry-optimized Sm7Cu2Ru2 structure. The functional is PBE.

abc: 6.775 6.775 7.088
angles: 90.00 90.00 112.68
Element x y z (fractional)
Sm 0.000 0.000 0.000
Sm 0.000 0.500 0.268
Sm 0.000 0.500 0.732
Sm 0.500 0.000 0.268
Sm 0.500 0.000 0.732
Sm 0.500 0.500 0.256
Sm 0.500 0.500 0.744
Cu 0.162 0.162 0.500
Cu 0.838 0.838 0.500
Ru 0.308 0.692 0.000
Ru 0.692 0.308 0.000

# 5
This record from Alexandria via LeMat-Bulk describes a geometry-optimized Sm3Cu2Ru structure. The functional is PBE.

abc: 11.667 4.191 11.542
angles: 90.00 90.00 90.00
Element x y z (fractional)
Sm 0.051 0.250 0.124
Sm 0.119 0.750 0.554
Sm 0.226 0.250 0.792
Sm 0.274 0.750 0.292
Sm 0.381 0.250 0.054
Sm 0.449 0.750 0.624
Sm 0.551 0.250 0.376
Sm 0.619 0.750 0.946
Sm 0.726 0.250 0.708
Sm 0.774 0.750 0.208
Sm 0.881 0.250 0.446
Sm 0.949 0.750 0.876
Cu 0.014 0.750 0.309
Cu 0.193 0.750 0.999
Cu 0.307 0.250 0.499
Cu 0.486 0.250 0.809
Cu 0.514 0.750 0.191
Cu 0.693 0.750 0.501
Cu 0.807 0.250 0.001
Cu 0.986 0.250 0.691
Ru 0.128 0.250 0.367
Ru 0.372 0.750 0.867
Ru 0.628 0.250 0.133
Ru 0.872 0.750 0.633

# 6
This record from Alexandria via LeMat-Bulk describes a geometry-optimized SmCuRu structure. The functional is PBE.

Calculated values
Energy above the lowest structure with this stoichiometry = 249.0 meV per atom

abc: 3.435 3.435 9.450
angles: 90.00 90.00 90.00
Element x y z (fractional)
Sm 0.000 0.000 0.000
Sm 0.500 0.500 0.500
Cu 0.000 0.000 0.703
Cu 0.500 0.500 0.203
Ru 0.000 0.000 0.310
Ru 0.500 0.500 0.810

| no. | formation energy (kJ/mol of formula units) |
| --- | --- |
| 1 | -174 |
| 2 | -188 |
| 3 | -16 |
| 4 | -63 |
| 5 | -114 |
| 6 | 6 |